(1)
A plane-wave DFT calculation with PBE was carried out for a relaxed Rb3TlCd3 crystal.

Structure (CIF):
```
data_Rb3TlCd3
_symmetry_space_group_name_H-M 'C 1 2/m 1'
_symmetry_Int_Tables_number 12
_symmetry_space_group_name_Hall '-C 2y'
_cell_length_a 13.2756
_cell_length_b 5.5064
_cell_length_c 17.7053
_cell_angle_alpha 90.00
_cell_angle_beta 111.57
_cell_angle_gamma 90.00
loop_
_atom_site_label
_atom_site_fract_x
_atom_site_fract_y
_atom_site_fract_z
_atom_site_occupancy
Rb1 0.0235 0.0000 0.2632 1
Rb2 0.1452 0.5000 0.1220 1
Rb3 0.1874 0.0000 0.5748 1
Tl1 0.1653 0.5000 0.9131 1
Cd1 0.0105 0.5000 0.4194 1
Cd2 0.0949 0.0000 0.9698 1
Cd3 0.1771 0.5000 0.7371 1
```

Values from the calculation:
- Formation energy: -54 meV/atom

***

(2)
A plane-wave DFT calculation with PBE was carried out for a relaxed Rb6Tl2Cd crystal.

Structure (CIF):
```
data_Rb6Tl2Cd
_symmetry_space_group_name_H-M 'C 1 2/m 1'
_symmetry_Int_Tables_number 12
_symmetry_space_group_name_Hall '-C 2y'
_cell_length_a 12.4154
_cell_length_b 6.4532
_cell_length_c 13.0366
_cell_angle_alpha 90.00
_cell_angle_beta 109.53
_cell_angle_gamma 90.00
loop_
_atom_site_label
_atom_site_fract_x
_atom_site_fract_y
_atom_site_fract_z
_atom_site_occupancy
Rb1 0.0578 0.0000 0.2316 1
Rb2 0.1839 0.5000 0.0625 1
Rb3 0.1961 0.0000 0.5874 1
Tl1 0.1113 0.5000 0.7423 1
Cd1 0.0000 0.5000 0.5000 1
```

Values from the calculation:
- Formation energy: -13 meV/atom

***

(3)
A plane-wave DFT calculation with PBE was carried out for a relaxed RbTl8Cd2 crystal.

Structure (CIF):
```
data_RbTl8Cd2
_symmetry_space_group_name_H-M 'C 1 2/m 1'
_symmetry_Int_Tables_number 12
_symmetry_space_group_name_Hall '-C 2y'
_cell_length_a 17.6393
_cell_length_b 6.5818
_cell_length_c 6.0738
_cell_angle_alpha 90.00
_cell_angle_beta 94.49
_cell_angle_gamma 90.00
loop_
_atom_site_label
_atom_site_fract_x
_atom_site_fract_y
_atom_site_fract_z
_atom_site_occupancy
Rb1 0.0000 0.0000 0.0000 1
Tl1 0.1002 0.5000 0.0188 1
Tl2 0.1008 0.2505 0.5369 1
Tl3 0.2135 0.0000 0.1260 1
Cd1 0.2431 0.5000 0.3640 1
```

Values from the calculation:
- Formation energy: 14 meV/atom

***

(4)
A plane-wave DFT calculation with PBE was carried out for a relaxed RbTl7Cd5 crystal.

Structure (CIF):
```
data_RbTl7Cd5
_symmetry_space_group_name_H-M 'I m m 2'
_symmetry_Int_Tables_number 44
_symmetry_space_group_name_Hall 'I 2 -2'
_cell_length_a 6.0665
_cell_length_b 11.1377
_cell_length_c 11.4239
_cell_angle_alpha 90.00
_cell_angle_beta 90.00
_cell_angle_gamma 90.00
loop_
_atom_site_label
_atom_site_fract_x
_atom_site_fract_y
_atom_site_fract_z
_atom_site_occupancy
Rb1 0.0000 0.0000 0.0000 1
Tl1 0.0000 0.0000 0.3569 1
Tl2 0.0000 0.0000 0.6469 1
Tl3 0.0000 0.2920 0.5008 1
Tl4 0.0000 0.3541 0.9998 1
Tl5 0.0000 0.5000 0.7178 1
Cd1 0.0000 0.5000 0.2751 1
Cd2 0.2494 0.2574 0.2526 1
```

Values from the calculation:
- Formation energy: -17 meV/atom

***

(5)
A plane-wave DFT calculation with PBE was carried out for a relaxed RbTlCd2 crystal.

Structure (CIF):
```
data_RbTlCd2
_symmetry_space_group_name_H-M 'F m -3 m'
_symmetry_Int_Tables_number 225
_symmetry_space_group_name_Hall '-F 4 2 3'
_cell_length_a 8.0608
_cell_length_b 8.0608
_cell_length_c 8.0608
_cell_angle_alpha 90.00
_cell_angle_beta 90.00
_cell_angle_gamma 90.00
loop_
_atom_site_label
_atom_site_fract_x
_atom_site_fract_y
_atom_site_fract_z
_atom_site_occupancy
Rb1 0.0000 0.0000 0.0000 1
Tl1 0.0000 0.0000 0.5000 1
Cd1 0.2500 0.2500 0.2500 1
```

Values from the calculation:
- Formation energy: 47 meV/atom

***

(6)
A plane-wave DFT calculation with PBE was carried out for a relaxed RbTl8Cd2 crystal.

Structure (CIF):
```
data_RbTl8Cd2
_symmetry_space_group_name_H-M 'P 4/m m m'
_symmetry_Int_Tables_number 123
_symmetry_space_group_name_Hall '-P 4 2'
_cell_length_a 6.4429
_cell_length_b 6.4429
_cell_length_c 10.8901
_cell_angle_alpha 90.00
_cell_angle_beta 90.00
_cell_angle_gamma 90.00
loop_
_atom_site_label
_atom_site_fract_x
_atom_site_fract_y
_atom_site_fract_z
_atom_site_occupancy
Rb1 0.0000 0.0000 0.0000 1
Tl1 0.2516 0.2516 0.2936 1
Cd1 0.0000 0.5000 0.5000 1
```

Values from the calculation:
- Formation energy: 129 meV/atom

***

(7)
A plane-wave DFT calculation with PBE was carried out for a relaxed Rb3Tl6Cd2 crystal.

Structure (CIF):
```
data_Rb3Tl6Cd2
_symmetry_space_group_name_H-M 'I 4/m m m'
_symmetry_Int_Tables_number 139
_symmetry_space_group_name_Hall '-I 4 2'
_cell_length_a 5.0577
_cell_length_b 5.0577
_cell_length_c 31.9109
_cell_angle_alpha 90.00
_cell_angle_beta 90.00
_cell_angle_gamma 90.00
loop_
_atom_site_label
_atom_site_fract_x
_atom_site_fract_y
_atom_site_fract_z
_atom_site_occupancy
Rb1 0.0000 0.0000 0.0000 1
Rb2 0.0000 0.0000 0.2031 1
Tl1 0.0000 0.0000 0.3307 1
Tl2 0.0000 0.5000 0.1035 1
Cd1 0.0000 0.0000 0.4541 1
```

Values from the calculation:
- Formation energy: -65 meV/atom

***

(8)
A plane-wave DFT calculation with PBE was carried out for a relaxed RbTl4Cd crystal.

Structure (CIF):
```
data_RbTl4Cd
_symmetry_space_group_name_H-M 'F -4 3 m'
_symmetry_Int_Tables_number 216
_symmetry_space_group_name_Hall 'F -4 2 3'
_cell_length_a 9.3814
_cell_length_b 9.3814
_cell_length_c 9.3814
_cell_angle_alpha 90.00
_cell_angle_beta 90.00
_cell_angle_gamma 90.00
loop_
_atom_site_label
_atom_site_fract_x
_atom_site_fract_y
_atom_site_fract_z
_atom_site_occupancy
Rb1 0.0000 0.0000 0.0000 1
Tl1 0.1241 0.1241 0.3759 1
Cd1 0.2500 0.2500 0.7500 1
```

Values from the calculation:
- Formation energy: 27 meV/atom

***

Q: The lowest formation energy belongs to which entry?
A: Rb3Tl6Cd2

***

Q: formation energy of number 5 (RbTlCd2)?
A: 47 meV/atom

***

Q: formation energy of number 1 (Rb3TlCd3)?
A: -54 meV/atom